(1)
CdW2C | PBE | relaxed

```
CdW2C
1.0
3.045 0.000 0.000
-1.523 2.637 0.000
0.000 0.000 14.587
W C Cd
4 2 2
Cartesian
1.523 0.879 8.485
0.000 1.758 1.192
1.523 0.879 13.395
0.000 1.758 6.102
0.000 0.000 0.000
0.000 0.000 7.293
1.523 0.879 3.647
0.000 1.758 10.940
```

## Properties
Space group: No. 194
ρ (Mg/m³): 13.951
Raw total energy (eV/atom): -8.7678



(2)
PtF4 | PBE | relaxed

```
PtF4
1.0
4.594 0.000 0.000
0.000 5.246 0.000
-1.807 0.000 4.906
F Pt
8 2
Cartesian
1.148 1.954 0.059
1.194 4.638 0.003
2.543 1.954 2.394
1.640 3.292 4.847
1.594 0.608 4.903
2.497 4.638 2.450
0.245 3.292 2.511
0.290 0.608 2.456
-1.355 3.398 3.679
-0.452 1.849 1.226
```

## Properties
Space group: No. 13
ρ (Mg/m³): 7.614
Energy relative to the lowest polymorph listed for this composition (meV/atom): 2
Raw total energy (eV/atom): -3.7985



(3)
ScAu | PBE | relaxed

```
ScAu
1.0
-0.967 -2.772 -1.678
2.367 -1.800 1.609
-2.213 -0.715 2.455
Au Sc
1 1
Cartesian
0.000 0.000 0.000
-0.406 -2.643 1.193
```

## Properties
Energy of formation (meV per atom): -805
Space group: No. 221
ρ (Mg/m³): 10.390
Raw total energy (eV/atom): -5.6027



(4)
NdLu2Ge7 | PBE | relaxed

```
NdLu2Ge7
1.0
2.007 -12.412 0.000
2.007 12.412 0.000
0.000 0.000 4.139
Ge Lu Nd
7 2 1
Cartesian
2.007 9.984 2.069
2.007 -7.080 0.000
2.007 -9.984 2.069
2.007 -2.476 0.000
2.007 0.000 2.069
2.007 7.080 0.000
2.007 2.476 0.000
2.007 4.685 2.069
2.007 -4.685 2.069
0.000 0.000 0.000
```

## Properties
Space group: No. 65
ρ (Mg/m³): 8.076
Raw total energy (eV/atom): -5.0872



(5)
LiNbHgPt | PBE | relaxed

```
LiNbHgPt
1.0
3.937 -2.041 -0.912
0.238 -4.520 -0.093
0.573 -2.156 -3.940
Li Pt Nb Hg
1 1 1 1
Cartesian
3.561 -6.537 -3.709
1.187 -2.179 -1.236
0.000 0.000 0.000
2.374 -4.358 -2.473
```

## Properties
Space group: No. 216
ρ (Mg/m³): 12.542
Energy relative to the lowest polymorph listed for this composition (meV/atom): 0
Raw total energy (eV/atom): -4.8386



(6)
Nd2Y2Br5N | PBE | relaxed

```
Nd2Y2Br5N
1.0
-6.407 5.829 3.011
-6.875 2.837 5.365
6.754 2.310 4.282
Br Y Nd N
5 2 2 1
Cartesian
0.008 2.222 2.827
3.354 3.433 5.033
-6.537 8.755 9.831
-3.264 5.488 6.329
-9.883 7.543 7.624
1.438 5.319 7.050
-7.967 5.657 5.608
-11.900 9.127 9.236
5.371 1.850 3.421
-6.641 4.333 4.188
```

## Properties
Space group: No. 12
ρ (Mg/m³): 5.239
Raw total energy (eV/atom): -5.5330



(7)
DyErAg2Sn2 | PBE | relaxed

```
DyErAg2Sn2
1.0
4.724 0.000 0.000
-2.362 4.091 0.000
0.000 0.000 7.302
Sn Dy Ag Er
2 1 2 1
Cartesian
2.362 1.364 0.295
0.000 2.727 3.936
0.000 0.000 5.551
2.362 1.364 3.279
0.000 2.727 6.941
0.000 0.000 1.903
```

## Properties
Space group: No. 156
ρ (Mg/m³): 9.214
Raw total energy (eV/atom): -4.3879



(8)
LuTa2Ni | PBE | relaxed

```
LuTa2Ni
1.0
2.058 -3.163 -2.723
-0.483 -4.535 0.926
-2.570 -2.686 -2.799
Ta Ni Lu
2 1 1
Cartesian
0.000 0.000 0.000
-0.746 -7.788 -3.447
-0.249 -2.596 -1.149
-0.498 -5.192 -2.298
```

## Properties
Energy of formation (meV per atom): 182
Space group: No. 216
ρ (Mg/m³): 13.878
Raw total energy (eV/atom): -8.2670



(9)
LuNb2Au | PBE | relaxed

```
LuNb2Au
1.0
0.000 3.381 3.381
3.381 0.000 3.381
3.381 3.381 0.000
Nb Au Lu
2 1 1
Cartesian
0.000 0.000 0.000
5.071 5.071 5.071
3.381 3.381 3.381
1.690 1.690 1.690
```

## Properties
Energy of formation (meV per atom): -34
Space group: No. 216
ρ (Mg/m³): 11.982
Raw total energy (eV/atom): -7.0287



(10)
MgAg2Ge | PBE | relaxed

```
MgAg2Ge
1.0
4.694 -0.334 0.309
2.030 -4.215 0.592
2.462 -1.947 -3.520
Mg Ag Ge
1 2 1
Cartesian
2.296 -1.624 -0.655
6.889 -4.873 -1.964
0.000 0.000 0.000
4.593 -3.248 -1.309
```

## Properties
Space group: No. 216
ρ (Mg/m³): 7.001
Raw total energy (eV/atom): -2.9764



(11)
Cs2Li3ReO6 | PBE | relaxed

```
Cs2Li3ReO6
1.0
3.136 -6.431 0.000
3.136 6.431 0.000
-2.366 0.000 4.443
Li O Cs Re
3 6 2 1
Cartesian
1.953 5.254 2.222
1.953 0.000 2.222
1.953 -5.254 2.222
0.552 -1.344 1.260
4.556 0.000 0.796
-0.650 0.000 3.647
3.353 1.344 3.183
3.353 -1.344 3.183
0.552 1.344 1.260
3.136 2.358 0.000
3.136 -2.358 0.000
0.000 0.000 0.000
```

## Properties
Space group: No. 12
ρ (Mg/m³): 5.270
Raw total energy (eV/atom): -5.8491



(12)
UGeAs | PBE | relaxed

```
UGeAs
1.0
0.000 3.298 3.298
3.298 0.000 3.298
3.298 3.298 0.000
U Ge As
1 1 1
Cartesian
0.000 0.000 0.000
4.946 4.946 4.946
1.649 1.649 1.649
```

## Properties
Space group: No. 216
ρ (Mg/m³): 8.927
Raw total energy (eV/atom): -6.8983



(13)
Y8Co | PBE | relaxed

```
Y8Co
1.0
9.101 0.000 0.000
-4.551 7.882 0.000
0.000 0.000 3.673
Y Co
8 1
Cartesian
3.486 6.039 1.836
1.758 3.044 0.000
4.551 2.627 1.836
0.000 5.255 1.836
-2.793 4.838 0.000
5.586 0.000 0.000
2.129 0.000 1.836
-1.064 1.844 1.836
0.000 0.000 0.000
```

## Properties
Energy of formation (meV per atom): -27
Space group: No. 189
ρ (Mg/m³): 4.854
Raw total energy (eV/atom): -6.5631



(14)
Rb2In4PdPt | PBE | relaxed

```
Rb2In4PdPt
1.0
8.061 0.000 0.000
0.000 2.298 6.252
0.000 -2.298 6.252
In Rb Pt Pd
4 2 1 1
Cartesian
5.582 0.000 10.324
2.479 0.000 10.324
6.500 0.000 2.168
1.562 0.000 2.168
0.000 0.000 5.676
4.031 0.000 6.843
4.031 0.000 3.513
0.000 0.000 9.003
```

## Properties
Space group: No. 38
ρ (Mg/m³): 6.680
Raw total energy (eV/atom): -3.3017



(15)
Mo2Ir3Os3 | PBE | relaxed

```
Mo2Ir3Os3
1.0
5.534 0.000 0.000
-2.767 4.793 0.000
0.000 0.000 4.406
Mo Os Ir
2 3 3
Cartesian
0.000 0.000 0.000
2.767 1.598 2.203
1.375 2.401 0.000
0.000 4.783 0.000
-1.375 2.401 0.000
-1.379 3.991 2.203
1.379 3.991 2.203
0.000 1.603 2.203
```

## Properties
Energy of formation (meV per atom): -221
Space group: No. 187
ρ (Mg/m³): 19.029
Energy relative to the lowest polymorph listed for this composition (meV/atom): 19
Raw total energy (eV/atom): -10.4636



(16)
AgBiAu | PBE | relaxed

```
AgBiAu
1.0
7.087 0.000 0.000
0.000 4.244 0.000
0.000 0.000 8.903
Au Ag Bi
4 4 4
Cartesian
0.772 1.061 5.199
4.315 1.061 8.156
2.772 3.183 0.747
6.316 3.183 3.705
2.811 3.183 6.690
0.733 1.061 2.238
4.277 1.061 2.214
6.355 3.183 6.665
5.937 3.183 0.750
2.393 3.183 3.702
1.151 1.061 8.153
4.694 1.061 5.202
```

## Properties
Space group: No. 62
ρ (Mg/m³): 12.743
Energy relative to the lowest polymorph listed for this composition (meV/atom): 60
Raw total energy (eV/atom): -3.3269



(17)
Al5Co7 | PBE | relaxed

```
Al5Co7
1.0
4.774 0.000 0.000
-2.387 4.135 0.000
0.000 0.000 15.236
Co Al
14 10
Cartesian
2.387 2.813 11.427
0.000 1.322 3.809
-1.242 3.474 3.809
3.629 0.661 11.427
1.242 3.474 3.809
0.000 0.000 6.214
0.000 0.000 13.832
2.387 1.378 13.299
0.000 2.757 5.681
0.000 0.000 1.404
2.387 1.378 9.555
1.145 0.661 11.427
0.000 0.000 9.022
0.000 2.757 1.937
2.387 0.000 7.618
2.387 1.378 2.459
1.194 2.067 7.618
-1.194 2.067 7.618
2.387 0.000 0.000
-1.194 2.067 0.000
0.000 2.757 10.077
0.000 2.757 12.777
1.194 2.067 0.000
2.387 1.378 5.159
```

## Properties
Space group: No. 194
ρ (Mg/m³): 6.045
Energy relative to the lowest polymorph listed for this composition (meV/atom): 0
Raw total energy (eV/atom): -5.7184



(18)
FeH | PBE | relaxed

```
FeH
1.0
-0.376 1.007 -2.399
2.226 -1.285 0.552
-3.619 -7.354 -2.520
H Fe
4 4
Cartesian
-0.891 -5.092 -1.998
-1.820 -6.980 -2.645
0.051 -0.651 -1.722
-0.878 -2.540 -2.369
-1.809 -3.677 -1.260
-2.223 -5.272 -3.305
0.454 -2.359 -1.062
0.000 0.000 0.000
```

## Properties
Space group: No. 194
ρ (Mg/m³): 7.360
Raw total energy (eV/atom): -5.8456



(19)
LiDyPd | PBE | relaxed

```
LiDyPd
1.0
-4.599 -0.236 0.118
-2.493 1.941 -3.353
-2.249 -2.648 -3.025
Pd Dy Li
1 1 1
Cartesian
-2.335 -0.236 -1.565
-4.671 -0.472 -3.130
0.000 0.000 0.000
```

## Properties
Space group: No. 216
ρ (Mg/m³): 6.626
Energy relative to the lowest polymorph listed for this composition (meV/atom): 0
Raw total energy (eV/atom): -4.3210



(20)
HgTe2Au | PBE | relaxed

```
HgTe2Au
1.0
-1.879 -4.785 0.737
-5.117 -0.848 -0.259
-1.994 -2.651 -3.996
Te Hg Au
2 1 1
Cartesian
0.000 0.000 0.000
-2.248 -2.071 -0.879
-6.742 -6.213 -2.638
-4.495 -4.142 -1.759
```

## Properties
Space group: No. 216
ρ (Mg/m³): 10.946
Raw total energy (eV/atom): -2.1408